Record 1
YAu2: relaxed, PBE.

Structure (POSCAR):
```
YAu2
1.0
-3.3556 1.0123 -1.2637
1.0398 -0.8815 -3.4675
-3.0344 -8.4973 1.2503
Au Y
4 2
direct
0.0000 0.5000 0.0842 Au
0.0000 0.5000 0.4148 Au
0.5000 0.0000 0.5852 Au
0.5000 0.0000 0.9158 Au
0.5000 0.0000 0.2500 Y
0.0000 0.5000 0.7500 Y
```

Output
Its space group is I4/mmm, No. 139. The value obtained for the calculated formation energy is -0.8626 eV per atom. As for the crystal system: tetragonal.

Record 2
YAu2: relaxed, PBE.

Structure (POSCAR):
```
YAu2
1.0
-3.7079 0.0000 0.0000
0.0000 -3.7079 0.0000
1.8540 1.8540 4.5475
Au Y
2 1
direct
0.6652 0.6652 0.3305 Au
0.3347 0.3347 0.6695 Au
0.0000 0.0000 0.0000 Y
```

Output
Its space group is I4/mmm, No. 139. The value obtained for the calculated formation energy is -0.8595 eV per atom. As for the crystal system: tetragonal.

Record 3
YAu4: relaxed, PBE.

Structure (POSCAR):
```
YAu4
1.0
-7.0689 -0.1771 -2.4072
2.3181 -2.5739 -6.6179
-0.3299 -3.4380 1.2216
Au Y
8 2
direct
0.3712 0.1288 0.0000 Au
0.8712 0.3712 0.0000 Au
0.1288 0.6288 0.0000 Au
0.6288 0.8712 0.0000 Au
0.6726 0.1726 0.5000 Au
0.1726 0.3274 0.5000 Au
0.8274 0.6726 0.5000 Au
0.3274 0.8274 0.5000 Au
0.0000 0.0000 0.0000 Y
0.5000 0.5000 0.0000 Y
```

Output
Its space group is P4/mbm, No. 127. The value obtained for the calculated formation energy is -0.3943 eV per atom. As for the crystal system: tetragonal.

Record 4
YAu: relaxed, PBE.

Structure (POSCAR):
```
YAu
1.0
0.9668 -3.6007 -0.2379
-4.5038 -1.2033 -0.0910
0.4964 -1.4353 -5.5911
Au Y
2 2
direct
0.4125 0.7500 0.1750 Au
0.5875 0.2500 0.8250 Au
0.8607 0.2500 0.2787 Y
0.1393 0.7500 0.7213 Y
```

Output
Its space group is Cmcm, No. 63. The value obtained for the calculated formation energy is -0.8857 eV per atom. As for the crystal system: orthorhombic.

Record 5
YAu: relaxed, PBE.

Structure (POSCAR):
```
YAu
1.0
3.5885 0.0000 0.0000
0.0000 3.5885 0.0000
0.0000 0.0000 3.5885
Au Y
1 1
direct
0.0000 0.0000 0.0000 Au
0.5000 0.5000 0.5000 Y
```

Output
Its space group is Pm-3m, No. 221. The value obtained for the calculated formation energy is -0.8615 eV per atom. As for the crystal system: cubic.

Record 6
YZnAu2: relaxed, PBE.

Structure (POSCAR):
```
YZnAu2
1.0
-3.7972 -2.8417 0.7996
-2.8665 0.8218 3.7738
-4.4521 1.6864 -0.6840
Au Y Zn
2 1 1
direct
0.0000 0.0000 0.0000 Au
0.2500 0.2500 0.2500 Au
0.7500 0.7500 0.7500 Y
0.5000 0.5000 0.5000 Zn
```

Output
Its space group is F-43m, No. 216. The value obtained for the calculated formation energy is -0.5459 eV per atom. As for the crystal system: cubic.